Here is CdReW after structural relaxation from the Alexandria database. Energies are from PBE.

a = 4.392 Å, b = 4.392 Å, c = 4.392 Å
α = 60.00°, β = 60.00°, γ = 60.00°
Fractional positions:
Cd: 0.000 0.000 0.000
Re: 0.750 0.750 0.750
W: 0.500 0.500 0.500

## Properties
Symmetry: F-43m, No. 216
Energy of formation (meV per atom): 1050.6
Polymorph energy (0 for the lowest one) (eV/atom): 0.6136
DFT total energy (eV/atom): -7.7215